Ac2TbPr4Nd: relaxed, PBE.

For the formation energy, the calculation gives 3.55 kJ/mol of atoms.

abc: 6.5363 3.7824 12.4194
angles: 90.00 100.35 90.00
Space group P2/m (No. 10)
Asymmetric unit:
Ac (0.0000, 0.0000, 0.0000) x1
Ac (0.5000, 0.5000, 0.0000) x1
Tb (0.0000, 0.5000, 0.5000) x1
Pr (0.2460, 0.0000, 0.7412) x2
Pr (0.2521, 0.5000, 0.2576) x2
Nd (0.5000, 0.0000, 0.5000) x1